LaTa2W | the Alexandria database | PBE | optimized geometry; uncorrected energy = -38.889 eV per formula unit; relative energy among the computed polymorphs = 403 meV/atom; magnetization = 0.0 μB per cell
1.0
3.204 0.000 0.000
0.000 5.136 0.000
0.000 0.000 4.867
La Ta W
1 2 1
Direct
0.000 0.500 0.500
0.000 0.000 0.000
0.500 0.500 0.000
0.500 0.000 0.500